1.
Material: Cr2SiSb
Method: DFT, GGA-PBE
State: optimized geometry

Results
- M_tot: 2.73 μB/f.u.
- Formation energy from raw total energies: 0.302 eV per atom

```
data_Cr2SiSb
_symmetry_space_group_name_H-M 'F m -3 m'
_symmetry_Int_Tables_number 225
_symmetry_space_group_name_Hall '-F 4 2 3'
_cell_length_a 6.148
_cell_length_b 6.148
_cell_length_c 6.148
_cell_angle_alpha 90.00
_cell_angle_beta 90.00
_cell_angle_gamma 90.00
loop_
_atom_site_label
_atom_site_fract_x
_atom_site_fract_y
_atom_site_fract_z
_atom_site_occupancy
Cr1 0.250 0.250 0.250 1
Si1 0.000 0.000 0.000 1
Sb1 0.000 0.000 0.500 1
```



2.
Material: Li4CaZn2
Method: DFT, GGA-PBE
State: optimized geometry

Results
- M_tot: 0.00 μB/f.u.

```
data_Li4CaZn2
_symmetry_space_group_name_H-M 'C m m m'
_symmetry_Int_Tables_number 65
_symmetry_space_group_name_Hall '-C 2 2'
_cell_length_a 3.999
_cell_length_b 16.642
_cell_length_c 4.369
_cell_angle_alpha 90.00
_cell_angle_beta 90.00
_cell_angle_gamma 90.00
loop_
_atom_site_label
_atom_site_fract_x
_atom_site_fract_y
_atom_site_fract_z
_atom_site_occupancy
Li1 0.000 0.178 0.000 1
Li2 0.000 0.315 0.500 1
Ca1 0.000 0.500 0.000 1
Zn1 0.000 0.077 0.500 1
```



no.,density of states at the Fermi level (states/eV per cell),uncorrected energy (eV/cell)
1,13.32,-110.3
2,5.49,-26.0